DFT (SCAN) results for ErFe2Ge2 at its PBEsol-relaxed geometry.

Structure (CIF):
```
data_ErFe2Ge2
_chemical_formula_sum 'Er2 Fe4 Ge4'
_symmetry_space_group_name_H-M 'I 4/m m m'
_symmetry_Int_Tables_number 139
_symmetry_space_group_name_Hall '-I 4 2'
_cell_length_a 3.931
_cell_length_b 3.931
_cell_length_c 9.820
_cell_angle_alpha 90.00
_cell_angle_beta 90.00
_cell_angle_gamma 90.00
loop_
_atom_site_label
_atom_site_fract_x
_atom_site_fract_y
_atom_site_fract_z
Er1 0.000 0.000 0.000
Fe1 0.000 0.500 0.250
Ge1 0.000 0.000 0.371
```

Summary:
Density of states at the Fermi level in states/eV/atom: 0.488
Energy of formation in eV/atom: -0.43